Record 1
A relaxed CoNi2Au crystal. Source: Alexandria via LeMat-Bulk, functional GGA-PBE.

Geometry as POSCAR:
```
CoNi2Au
1.0
5.914 0.000 0.000
0.000 5.914 0.000
0.000 0.000 5.914
Co Ni Au
4 8 4
direct
0.000 0.000 0.000 Co
0.000 0.500 0.500 Co
0.500 0.000 0.500 Co
0.500 0.500 0.000 Co
0.000 0.000 0.500 Ni
0.000 0.500 0.000 Ni
0.250 0.250 0.250 Ni
0.250 0.750 0.750 Ni
0.500 0.000 0.000 Ni
0.500 0.500 0.500 Ni
0.750 0.250 0.750 Ni
0.750 0.750 0.250 Ni
0.250 0.250 0.750 Au
0.250 0.750 0.250 Au
0.750 0.250 0.250 Au
0.750 0.750 0.750 Au
```

Record 2
A relaxed Co2NiAu crystal. Source: Alexandria via LeMat-Bulk, functional GGA-PBE.

Geometry as POSCAR:
```
Co2NiAu
1.0
2.683 0.000 0.000
0.000 2.683 0.000
0.000 0.000 7.183
Co Ni Au
2 1 1
direct
0.000 0.000 0.221 Co
0.000 0.000 0.779 Co
0.500 0.500 0.000 Ni
0.500 0.500 0.500 Au
```

Number 1: E above lowest polymorph 0.55 eV/f.u.. Number 2: E above lowest polymorph 0.28 eV/f.u..